No. 1
First-principles (PBE) data for crystalline CaPuBiPt at its relaxed geometry, as listed in Alexandria via LeMat-Bulk.

As for the volume: 410.62 Å³ per cell. The calculation puts the total magnetization at 5.21 μB per formula unit. Its energy is -7.14 eV/atom. The formation energy comes out at -2.3 eV/f.u. As for the crystal system: cubic.

abc: 7.433 7.433 7.433
angles: 90.00 90.00 90.00
Space group F-43m (No. 216)
Symmetry-distinct sites (fractional):
Ca 0.000 0.000 0.000 (multiplicity 4)
Pu 0.000 0.000 0.500 (multiplicity 4)
Bi 0.250 0.250 0.750 (multiplicity 4)
Pt 0.250 0.250 0.250 (multiplicity 4)


No. 2
First-principles (PBE) data for crystalline As3PtAu at its relaxed geometry, as listed in Alexandria via LeMat-Bulk.

The energy above the lowest structure with this stoichiometry comes out at 0.0000 eV/atom. As for the volume: 118.60 Å³ per cell. The calculation puts the total magnetization at 0.00 μB per formula unit. Its energy is -3.96 eV/atom. The formation energy comes out at 3.5 eV/f.u. As for the crystal system: cubic.

abc: 4.913 4.913 4.913
angles: 90.00 90.00 90.00
Space group Pm-3m (No. 221)
Symmetry-distinct sites (fractional):
As 0.000 0.000 0.500 (multiplicity 3)
Pt 0.000 0.000 0.000 (multiplicity 1)
Au 0.500 0.500 0.500 (multiplicity 1)


No. 3
First-principles (PBE) data for crystalline HfAgSn2 at its relaxed geometry, as listed in Alexandria via LeMat-Bulk.

The energy above the lowest structure with this stoichiometry comes out at 0.0697 eV/atom. As for the volume: 285.32 Å³ per cell. The calculation puts the total magnetization at 0.00 μB per formula unit. Its energy is -5.23 eV/atom. The formation energy comes out at -0.1 eV/f.u. As for the crystal system: trigonal.

abc: 3.2520 3.2520 31.1534
angles: 90.00 90.00 120.00
Space group R-3m (No. 166, hexagonal axes)
Symmetry-distinct sites (fractional):
Hf 0.0000 0.0000 0.0000 (multiplicity 3)
Ag 0.0000 0.0000 0.5000 (multiplicity 3)
Sn 0.0000 0.0000 0.4125 (multiplicity 6)


Q: Which of these has the highest volume?
A: CaPuBiPt


Q: Look up the energy of the first one.
A: -7.14 eV/atom


Please write out number 3 again, unchanged.
First-principles (PBE) data for crystalline HfAgSn2 at its relaxed geometry, as listed in Alexandria via LeMat-Bulk.

The energy above the lowest structure with this stoichiometry comes out at 0.0697 eV/atom. As for the volume: 285.32 Å³ per cell. The calculation puts the total magnetization at 0.00 μB per formula unit. Its energy is -5.23 eV/atom. The formation energy comes out at -0.1 eV/f.u. As for the crystal system: trigonal.

abc: 3.2520 3.2520 31.1534
angles: 90.00 90.00 120.00
Space group R-3m (No. 166, hexagonal axes)
Symmetry-distinct sites (fractional):
Hf 0.0000 0.0000 0.0000 (multiplicity 3)
Ag 0.0000 0.0000 0.5000 (multiplicity 3)
Sn 0.0000 0.0000 0.4125 (multiplicity 6)


Copy entry 1 word for word.
First-principles (PBE) data for crystalline CaPuBiPt at its relaxed geometry, as listed in Alexandria via LeMat-Bulk.

As for the volume: 410.62 Å³ per cell. The calculation puts the total magnetization at 5.21 μB per formula unit. Its energy is -7.14 eV/atom. The formation energy comes out at -2.3 eV/f.u. As for the crystal system: cubic.

abc: 7.433 7.433 7.433
angles: 90.00 90.00 90.00
Space group F-43m (No. 216)
Symmetry-distinct sites (fractional):
Ca 0.000 0.000 0.000 (multiplicity 4)
Pu 0.000 0.000 0.500 (multiplicity 4)
Bi 0.250 0.250 0.750 (multiplicity 4)
Pt 0.250 0.250 0.250 (multiplicity 4)